[1]
# Ca2Y2Al

Crystalline Ca2Y2Al at its relaxed geometry (PBE, Alexandria via LeMat-Bulk).

Properties
Space-group type: P4/mbm (127)
Magnetic moment: 3.51 Bohr magnetons per cell
Calculated total energy: -3.96 eV/atom
ρ: 2730 kg/m3
V: 34.7 A^3/atom

Cell lengths 7.8331, 7.8331, 5.6489 Å; angles 90.00, 90.00, 90.00 degrees
Closest atoms and distances in Å follow each position.
Element x y z (fractional)
Ca 0.1654 0.6654 0.5000  6 Y 3.49-3.75, 1 Ca 3.67
Ca 0.6654 0.8346 0.5000  6 Y 3.49-3.75, 1 Ca 3.67
Ca 0.3346 0.1654 0.5000  6 Y 3.49-3.75, 1 Ca 3.67
Ca 0.8346 0.3346 0.5000  6 Y 3.49-3.75, 1 Ca 3.67
Y 0.6489 0.1489 0.0000  2 Al 2.99, 1 Y 3.30
Y 0.1489 0.3511 0.0000  2 Al 2.99, 1 Y 3.30
Y 0.8511 0.6489 0.0000  2 Al 2.99, 1 Y 3.30
Y 0.3511 0.8511 0.0000  2 Al 2.99, 1 Y 3.30
Al 0.5000 0.5000 0.0000  4 Y 2.99
Al 0.0000 0.0000 0.0000  4 Y 2.99

***

[2]
# Na2Tl5CdIn

Crystalline Na2Tl5CdIn at its relaxed geometry (PBE, Alexandria via LeMat-Bulk).

Properties
Space-group type: Cmc2_1 (36)
Magnetic moment: 0.00 Bohr magnetons per cell
Calculated total energy: -2.03 eV/atom
ρ: 8026 kg/m3
V: 29.8 A^3/atom

Cell lengths 5.1521, 9.1471, 11.8510 Å; angles 90.00, 90.00, 106.36 degrees
Closest atoms and distances in Å follow each position.
Element x y z (fractional)
Tl 0.3638 0.7277 0.9837  1 Cd 3.20, 6 Tl 3.42-3.57, 2 Na 3.55
Tl 0.6362 0.2723 0.4837  1 Cd 3.20, 6 Tl 3.42-3.57, 2 Na 3.55
Tl 0.2497 0.4993 0.3704  1 In 3.13, 1 Na 3.15, 2 Cd 3.44
Tl 0.0050 0.0100 0.5413  3 Na 3.17-3.38, 2 In 3.17, 4 Tl 3.24-3.52, 1 Cd 3.34
Tl 0.7503 0.5007 0.8704  1 In 3.13, 1 Na 3.15, 2 Cd 3.44
Tl 0.5125 0.0249 0.7064  2 In 3.10-3.46, 4 Na 3.20-3.41, 4 Tl 3.24-3.42
Tl 0.6817 0.3634 0.1904  2 Cd 3.15, 3 Na 3.27-3.40, 1 In 3.38, 1 Tl 3.41
Tl 0.3183 0.6366 0.6904  2 Cd 3.15, 3 Na 3.27-3.40, 1 In 3.38, 1 Tl 3.41
Tl 0.9950 0.9900 0.0413  3 Na 3.17-3.38, 2 In 3.17, 4 Tl 3.24-3.52, 1 Cd 3.34
Tl 0.4875 0.9751 0.2064  2 In 3.10-3.46, 4 Na 3.20-3.41, 4 Tl 3.24-3.42
Na 0.0773 0.1545 0.2965  7 Tl 3.15-3.40
Na 0.8636 0.7273 0.2498  6 Tl 3.27-3.56, 1 Cd 3.51, 2 In 3.63
Na 0.9227 0.8455 0.7965  7 Tl 3.15-3.40
Na 0.1364 0.2727 0.7498  6 Tl 3.27-3.56, 1 Cd 3.51, 2 In 3.63
Cd 0.1854 0.3708 0.0369  6 Tl 3.15-3.44, 2 In 3.34, 1 Na 3.51
Cd 0.8146 0.6292 0.5369  6 Tl 3.15-3.44, 2 In 3.34, 1 Na 3.51
In 0.4203 0.8406 0.4486  6 Tl 3.10-3.46, 2 Cd 3.34
In 0.5797 0.1594 0.9486  6 Tl 3.10-3.46, 2 Cd 3.34